Below is a relaxed structure of AlOs3, with properties calculated at the GGA-PBE level.

Summary:
DFT formation energy: 0.0464 eV per atom
Total energy: -74.5 eV/cell

a = 2.907 Å, b = 4.413 Å, c = 8.789 Å
α = 90.00°, β = 90.00°, γ = 90.00°
Atoms (fractional coordinates):
1 Al 0.000 0.000 0.000
2 Al 0.500 0.500 0.500
3 Os 0.000 0.000 0.500
4 Os 0.000 0.500 0.269
5 Os 0.000 0.500 0.731
6 Os 0.500 0.000 0.231
7 Os 0.500 0.000 0.769
8 Os 0.500 0.500 0.000


Below is a relaxed structure of MgSi4Mo, with properties calculated at the GGA-PBE level.

Summary:
ΔE_f (raw): 0.297 eV per atom
Total energy: -32.3 eV/cell

a = 4.966 Å, b = 4.966 Å, c = 4.966 Å
α = 60.00°, β = 60.00°, γ = 60.00°
Atoms (fractional coordinates):
1 Mg 0.000 0.000 0.000
2 Si 0.376 0.376 0.376
3 Si 0.376 0.376 0.873
4 Si 0.376 0.873 0.376
5 Si 0.873 0.376 0.376
6 Mo 0.750 0.750 0.750